Compound: NaCaF3
Source: Alexandria
Functional: GGA-PBE
Structure: relaxed

Cell lengths 6.1158, 6.1158, 10.0946 Å; angles 71.50, 71.50, 59.54 degrees
Last column: nearest neighbours and their distance in Å.
Fractional coordinates of all 20 atoms:
Na (0.8401, 0.4609, 0.8760)  4 F 2.29-2.43
Na (0.5391, 0.1599, 0.6240)  4 F 2.29-2.43
Na (0.1599, 0.5391, 0.1240)  4 F 2.29-2.43
Na (0.4609, 0.8401, 0.3760)  4 F 2.29-2.43
Ca (0.0000, 0.5000, 0.5000)  6 F 2.23-2.30
Ca (0.5000, 0.0000, 0.0000)  6 F 2.23-2.30
Ca (0.7843, 0.2157, 0.2500)  6 F 2.25-2.30
Ca (0.2157, 0.7843, 0.7500)  6 F 2.25-2.30
F (0.7890, 0.9000, 0.8003)  2 Ca 2.23-2.25, 2 Na 2.34-2.43
F (0.1000, 0.2110, 0.6997)  2 Ca 2.23-2.25, 2 Na 2.34-2.43
F (0.2110, 0.1000, 0.1997)  2 Ca 2.23-2.25, 2 Na 2.34-2.43
F (0.9000, 0.7890, 0.3003)  2 Ca 2.23-2.25, 2 Na 2.34-2.43
F (0.6070, 0.7461, 0.6189)  2 Ca 2.27, 1 Na 2.36
F (0.2539, 0.3930, 0.8811)  2 Ca 2.27, 1 Na 2.36
F (0.3930, 0.2539, 0.3811)  2 Ca 2.27, 1 Na 2.36
F (0.7461, 0.6070, 0.1189)  2 Ca 2.27, 1 Na 2.36
F (0.3295, 0.7862, 0.9463)  1 Na 2.29, 2 Ca 2.30
F (0.2138, 0.6705, 0.5537)  1 Na 2.29, 2 Ca 2.30
F (0.7862, 0.3295, 0.4463)  1 Na 2.29, 2 Ca 2.30
F (0.6705, 0.2138, 0.0537)  1 Na 2.29, 2 Ca 2.30

* E above lowest polymorph: 0 meV per atom
* DFT total energy: -103.81 eV per cell
* formation energy from raw total energies: -17.017 eV/f.u.
* D(E_F): 0.00 states/eV per cell